[1]
Computed, not measured: a geometry-optimized Ga3Pt structure at the PBE level of DFT.

DFT formation energy (eV per atom): -0.16
Magnetization (μB per formula unit): 0.000
Energy above the most stable polymorph in this dataset (meV per atom): 283.0
Calculated total energy (eV/atom): -3.95

abc: 4.055 4.055 4.055
angles: 90.00 90.00 90.00
Fractional positions:
Ga: 0.000 0.000 0.500
Ga: 0.000 0.500 0.000
Ga: 0.500 0.000 0.000
Pt: 0.500 0.500 0.500

[2]
Computed, not measured: a geometry-optimized Ga2Pt structure at the PBE level of DFT.

DFT formation energy (eV per atom): -0.43
Magnetization (μB per formula unit): 0.000
Calculated total energy (eV/atom): -4.46

abc: 4.647 4.643 3.474
angles: 68.10 67.97 43.92
Fractional positions:
Ga: 0.162 0.162 0.838
Ga: 0.838 0.838 0.162
Pt: 0.500 0.500 0.500

[3]
Computed, not measured: a geometry-optimized Ga3Pt structure at the PBE level of DFT.

DFT formation energy (eV per atom): -0.19
Magnetization (μB per formula unit): 0.000
Energy above the most stable polymorph in this dataset (meV per atom): 253.1
Calculated total energy (eV/atom): -3.98

abc: 4.565 4.565 4.565
angles: 60.00 60.00 60.00
Fractional positions:
Ga: 0.000 0.000 0.000
Ga: 0.250 0.250 0.250
Ga: 0.750 0.750 0.750
Pt: 0.500 0.500 0.500

[4]
Computed, not measured: a geometry-optimized Pu3Ga3Pt2 structure at the PBE level of DFT.

DFT formation energy (eV per atom): -0.60
Magnetization (μB per formula unit): 16.665
Calculated total energy (eV/atom): -8.62

abc: 8.135 15.001 5.596
angles: 90.00 90.00 90.00
Fractional positions:
Pu: 0.037 0.108 0.111
Pu: 0.037 0.392 0.111
Pu: 0.168 0.250 0.624
Pu: 0.332 0.750 0.124
Pu: 0.463 0.608 0.611
Pu: 0.463 0.892 0.611
Pu: 0.537 0.108 0.389
Pu: 0.537 0.392 0.389
Pu: 0.668 0.250 0.876
Pu: 0.832 0.750 0.376
Pu: 0.963 0.608 0.889
Pu: 0.963 0.892 0.889
Ga: 0.178 0.750 0.633
Ga: 0.184 0.037 0.598
Ga: 0.184 0.463 0.598
Ga: 0.316 0.537 0.098
Ga: 0.316 0.963 0.098
Ga: 0.322 0.250 0.133
Ga: 0.678 0.750 0.867
Ga: 0.684 0.037 0.902
Ga: 0.684 0.463 0.902
Ga: 0.816 0.537 0.402
Ga: 0.816 0.963 0.402
Ga: 0.822 0.250 0.367
Pt: 0.106 0.611 0.376
Pt: 0.106 0.889 0.376
Pt: 0.394 0.111 0.876
Pt: 0.394 0.389 0.876
Pt: 0.606 0.611 0.124
Pt: 0.606 0.889 0.124
Pt: 0.894 0.111 0.624
Pt: 0.894 0.389 0.624

[5]
Computed, not measured: a geometry-optimized PuGa12Pt4 structure at the PBE level of DFT.

DFT formation energy (eV per atom): -0.32
Magnetization (μB per formula unit): 6.173
Calculated total energy (eV/atom): -4.72

abc: 7.640 7.640 7.640
angles: 109.47 109.47 109.47
Fractional positions:
Pu: 0.000 0.000 0.000
Ga: 0.152 0.497 0.345
Ga: 0.152 0.807 0.655
Ga: 0.193 0.345 0.848
Ga: 0.345 0.152 0.497
Ga: 0.345 0.848 0.193
Ga: 0.497 0.345 0.152
Ga: 0.503 0.655 0.848
Ga: 0.655 0.152 0.807
Ga: 0.655 0.848 0.503
Ga: 0.807 0.655 0.152
Ga: 0.848 0.193 0.345
Ga: 0.848 0.503 0.655
Pt: 0.000 0.000 0.500
Pt: 0.000 0.500 0.000
Pt: 0.500 0.000 0.000
Pt: 0.500 0.500 0.500

[6]
Computed, not measured: a geometry-optimized Pu2Ga2Pt3 structure at the PBE level of DFT.

DFT formation energy (eV per atom): -0.52
Magnetization (μB per formula unit): 0.000
Energy above the most stable polymorph in this dataset (meV per atom): 256.9
Calculated total energy (eV/atom): -8.07

abc: 6.238 6.238 7.539
angles: 123.97 123.97 31.10
Fractional positions:
Pu: 0.179 0.179 0.376
Pu: 0.821 0.821 0.624
Ga: 0.170 0.170 0.786
Ga: 0.830 0.830 0.214
Pt: 0.425 0.425 0.074
Pt: 0.500 0.500 0.500
Pt: 0.575 0.575 0.926